First-principles (PBE) data for an optimized crystal structure of Ti2VGa, as listed in Alexandria via LeMat-Bulk.

Computed properties:
Energy of formation = 0.235 eV/atom
ρ = 5.52 g/cm³
Calculated total energy = -6.748 eV/atom

abc: 7.061 7.061 5.225
angles: 90.00 90.00 90.00
Space group I-42d (No. 122)
Asymmetric unit:
Ti1 0.246 0.250 0.125 [8 per cell]
V1 0.000 0.000 0.000 [4 per cell]
Ga1 0.000 0.000 0.500 [4 per cell]